Ti4C3N after structural relaxation, computed with PBEsol.

Computed properties:
VASP energy	-10.02	eV/atom
formation energy without anion corrections	-9.388	eV per formula unit
calculated density	5.1	g cm⁻³

abc: 3.0248 3.0248 29.5964
angles: 90.00 90.00 120.00
Closest atoms and distances in Å follow each position.
Space group R-3m (No. 166, hexagonal axes)
Asymmetric unit:
Ti1 0.0000 0.0000 0.1245 x6  3 C 2.11, 3 N 2.15
Ti2 0.0000 0.0000 0.3748 x6  6 C 2.13-2.16
C1 0.0000 0.0000 0.0000 x3  6 Ti 2.13
C2 0.0000 0.0000 0.2490 x6  6 Ti 2.11-2.16
N1 0.0000 0.0000 0.5000 x3  6 Ti 2.15